1.
VASP calculation (PBE) on an optimized crystal structure of PPtRh.

**Uncorrected energy**: -6.467 eV/atom
**Energy relative to the elements**: -0.199 eV/atom
**Symmetry**: Fmm2

a b c (Å): 5.387 5.379 2.937
angles (deg): 74.33 74.01 31.66
Element x y z (fractional)
P: 0.000 0.000 0.000
Pt: 0.658 0.658 0.342
Rh: 0.372 0.372 0.628

***

2.
VASP calculation (PBE) on an optimized crystal structure of PPt4Rh.

**Uncorrected energy**: -5.673 eV/atom
**Energy relative to the elements**: 0.481 eV/atom
**Symmetry**: F-43m

a b c (Å): 5.225 5.225 5.225
angles (deg): 60.00 60.00 60.00
Element x y z (fractional)
P: 0.000 0.000 0.000
Pt: 0.126 0.625 0.625
Pt: 0.625 0.126 0.625
Pt: 0.625 0.625 0.126
Pt: 0.625 0.625 0.625
Rh: 0.250 0.250 0.250

***

3.
VASP calculation (PBE) on an optimized crystal structure of PPt2Rh.

**Uncorrected energy**: -6.100 eV/atom
**Energy relative to the elements**: 0.111 eV/atom
**Symmetry**: I4/mmm

a b c (Å): 4.870 4.870 4.870
angles (deg): 133.50 133.50 67.87
Element x y z (fractional)
P: 0.000 0.000 0.000
Pt: 0.250 0.750 0.500
Pt: 0.750 0.250 0.500
Rh: 0.500 0.500 0.000

***

4.
VASP calculation (PBE) on an optimized crystal structure of P2PtRh.

**Uncorrected energy**: -6.337 eV/atom
**Energy relative to the elements**: -0.284 eV/atom
**Symmetry**: R3m
**Excess energy over the best structure of this formula in the dataset**: 0.663 eV per formula unit

a b c (Å): 7.208 7.208 7.208
angles (deg): 25.89 25.89 25.89
Element x y z (fractional)
P: 0.000 0.000 0.000
P: 0.238 0.238 0.238
Pt: 0.732 0.732 0.732
Rh: 0.509 0.509 0.509

***

5.
VASP calculation (PBE) on an optimized crystal structure of P2PtRh.

**Uncorrected energy**: -6.299 eV/atom
**Energy relative to the elements**: -0.246 eV/atom
**Symmetry**: Pmm2
**Excess energy over the best structure of this formula in the dataset**: 0.814 eV per formula unit

a b c (Å): 2.758 4.602 4.828
angles (deg): 90.00 90.00 90.00
Element x y z (fractional)
P: 0.000 0.000 0.000
P: 0.000 0.500 0.357
Pt: 0.000 0.000 0.499
Rh: 0.000 0.500 0.868

***

6.
VASP calculation (PBE) on an optimized crystal structure of PPtRh.

**Uncorrected energy**: -6.800 eV/atom
**Energy relative to the elements**: -0.532 eV/atom
**Symmetry**: F-43m

a b c (Å): 3.991 3.991 3.991
angles (deg): 60.00 60.00 60.00
Element x y z (fractional)
P: 0.000 0.000 0.000
Pt: 0.250 0.250 0.250
Rh: 0.750 0.750 0.750

***

7.
VASP calculation (PBE) on an optimized crystal structure of P2PtRh.

**Uncorrected energy**: -6.134 eV/atom
**Energy relative to the elements**: -0.081 eV/atom
**Symmetry**: Fmmm
**Excess energy over the best structure of this formula in the dataset**: 1.474 eV per formula unit

a b c (Å): 4.862 4.781 3.939
angles (deg): 66.98 64.82 48.20
Element x y z (fractional)
P: 0.000 0.500 0.500
P: 0.500 0.000 0.000
Pt: 0.000 0.000 0.000
Rh: 0.500 0.500 0.500

***

8.
VASP calculation (PBE) on an optimized crystal structure of P2PtRh.

**Uncorrected energy**: -6.057 eV/atom
**Energy relative to the elements**: -0.004 eV/atom
**Symmetry**: Fm-3m
**Excess energy over the best structure of this formula in the dataset**: 1.783 eV per formula unit

a b c (Å): 4.316 4.316 4.316
angles (deg): 60.00 60.00 60.00
Element x y z (fractional)
P: 0.250 0.250 0.250
P: 0.750 0.750 0.750
Pt: 0.000 0.000 0.000
Rh: 0.500 0.500 0.500

***

9.
VASP calculation (PBE) on an optimized crystal structure of PPtRhS2.

**ΔE_f (raw)**: 4.3 eV/f.u.
**Uncorrected energy**: -4.551 eV/atom
**Symmetry**: P4/mmm
**Excess energy over the best structure of this formula in the dataset**: 0.000 eV per formula unit

a b c (Å): 4.669 4.669 4.386
angles (deg): 90.00 90.00 90.00
Element x y z (fractional)
P: 0.000 0.000 0.000
Pt: 0.500 0.500 0.000
Rh: 0.000 0.000 0.500
S: 0.000 0.500 0.500
S: 0.500 0.000 0.500

***

10.
VASP calculation (PBE) on an optimized crystal structure of P2PtRhS.

**ΔE_f (raw)**: 4.1 eV/f.u.
**Uncorrected energy**: -4.847 eV/atom
**Symmetry**: P4/mmm
**Excess energy over the best structure of this formula in the dataset**: 0.000 eV per formula unit

a b c (Å): 4.445 4.445 4.788
angles (deg): 90.00 90.00 90.00
Element x y z (fractional)
P: 0.000 0.500 0.000
P: 0.500 0.000 0.000
Pt: 0.000 0.000 0.500
Rh: 0.500 0.500 0.000
S: 0.500 0.500 0.500

***

11.
VASP calculation (PBE) on an optimized crystal structure of P2PtRhS.

**ΔE_f (raw)**: 5.1 eV/f.u.
**Uncorrected energy**: -4.657 eV/atom
**Symmetry**: P4/mmm
**Excess energy over the best structure of this formula in the dataset**: 0.946 eV per formula unit

a b c (Å): 4.542 4.542 4.866
angles (deg): 90.00 90.00 90.00
Element x y z (fractional)
P: 0.000 0.500 0.000
P: 0.500 0.000 0.000
Pt: 0.000 0.000 0.000
Rh: 0.500 0.500 0.500
S: 0.000 0.000 0.500

***

12.
VASP calculation (PBE) on an optimized crystal structure of PPtRhS2.

**ΔE_f (raw)**: 5.0 eV/f.u.
**Uncorrected energy**: -4.404 eV/atom
**Symmetry**: P4/mmm
**Excess energy over the best structure of this formula in the dataset**: 0.733 eV per formula unit

a b c (Å): 4.765 4.765 4.475
angles (deg): 90.00 90.00 90.00
Element x y z (fractional)
P: 0.000 0.000 0.000
Pt: 0.000 0.000 0.500
Rh: 0.500 0.500 0.000
S: 0.000 0.500 0.500
S: 0.500 0.000 0.500